! AlTl2F5, optimized geometry, DFT PBE; values from VASP
! Formation energy (no corrections), eV/atom: -2.67
! Size of the total moment, μB/f.u.: 0.00
&SYSTEM
  ibrav = 0, nat = 16, ntyp = 3
/
ATOMIC_SPECIES
Al 26.98 Al.upf
Tl 204.38 Tl.upf
F 19.00 F.upf
ATOMIC_POSITIONS crystal
Al 0.000 0.000 0.000
Al 0.500 0.500 0.500
Tl 0.000 0.500 0.235
Tl 0.000 0.500 0.735
Tl 0.500 0.000 0.235
Tl 0.500 0.000 0.735
F 0.000 0.000 0.794
F 0.195 0.195 0.051
F 0.195 0.805 0.051
F 0.305 0.305 0.551
F 0.305 0.695 0.551
F 0.500 0.500 0.294
F 0.695 0.305 0.551
F 0.695 0.695 0.551
F 0.805 0.195 0.051
F 0.805 0.805 0.051
CELL_PARAMETERS angstrom
6.332 0.000 0.000
0.000 6.332 0.000
0.000 0.000 8.359